Below is a geometry-optimized Cd2SbAu2 structure, with properties calculated at the GGA-PBE level.

## Properties
* energy relative to the elements, uncorrected: 0.0 eV/f.u.
* energy above the lowest structure with this stoichiometry: 7.40 kJ/mol of atoms

abc: 4.0502 4.0502 13.6198
angles: 90.00 90.00 90.00
Space group I4/mmm (No. 139)
Unique sites:
Cd: 0.0000 0.5000 0.2500 [4 per cell]
Sb: 0.0000 0.0000 0.0000 [2 per cell]
Au: 0.0000 0.0000 0.3997 [4 per cell]


Below is a geometry-optimized SmCdSbAu structure, with properties calculated at the GGA-PBE level.

## Properties
* energy relative to the elements, uncorrected: -1.9 eV/f.u.

abc: 7.3440 7.3440 7.3440
angles: 90.00 90.00 90.00
Space group F-43m (No. 216)
Unique sites:
Sm: 0.0000 0.0000 0.0000 [4 per cell]
Cd: 0.0000 0.0000 0.5000 [4 per cell]
Sb: 0.2500 0.2500 0.7500 [4 per cell]
Au: 0.2500 0.2500 0.2500 [4 per cell]


Below is a geometry-optimized Cd2SnSbAu structure, with properties calculated at the GGA-PBE level.

## Properties
* energy relative to the elements, uncorrected: 2.7 eV/f.u.

abc: 5.4939 5.4939 5.2387
angles: 90.00 90.00 90.00
Space group P4/mmm (No. 123)
Unique sites:
Cd: 0.0000 0.5000 0.0000 [2 per cell]
Sn: 0.0000 0.0000 0.0000 [1 per cell]
Sb: 0.5000 0.5000 0.5000 [1 per cell]
Au: 0.0000 0.0000 0.5000 [1 per cell]


Below is a geometry-optimized CdSbTe2Au structure, with properties calculated at the GGA-PBE level.

## Properties
* energy relative to the elements, uncorrected: 2.4 eV/f.u.
* energy above the lowest structure with this stoichiometry: 0.00 kJ/mol of atoms

abc: 5.5860 5.5860 5.2684
angles: 90.00 90.00 90.00
Space group P4/mmm (No. 123)
Unique sites:
Cd: 0.0000 0.0000 0.0000 [1 per cell]
Sb: 0.5000 0.5000 0.0000 [1 per cell]
Te: 0.0000 0.5000 0.5000 [2 per cell]
Au: 0.5000 0.5000 0.5000 [1 per cell]